No. 1
Compound: Bi2PbS4
Source: the Alexandria database
Functional: PBE
Structure: relaxed

Cell lengths 4.0498, 6.9682, 13.8621 Å; angles 90.00, 90.00, 106.89 degrees
Sites, in units of the cell vectors:
S (0.2274, 0.4547, 0.6164)
S (0.0443, 0.0886, 0.2500)
S (0.5000, 0.0000, 0.5000)
S (0.5000, 0.0000, 0.0000)
S (0.7726, 0.5453, 0.3836)
Bi (0.8633, 0.7265, 0.9331)
S (0.7726, 0.5453, 0.1164)
Pb (0.3986, 0.7972, 0.2500)
Bi (0.8633, 0.7265, 0.5669)
Bi (0.1367, 0.2735, 0.0669)
Bi (0.1367, 0.2735, 0.4331)
S (0.2274, 0.4547, 0.8836)
Pb (0.6014, 0.2028, 0.7500)
S (0.9557, 0.9114, 0.7500)

Summary:
The space group is Cmcm. Its uncorrected formation energy is -0.4017 eV per atom.

No. 2
Compound: SbPCl4F6
Source: the Alexandria database
Functional: PBE
Structure: relaxed

Cell lengths 8.8762, 8.8762, 6.7349 Å; angles 90.00, 90.00, 90.00 degrees
Sites, in units of the cell vectors:
F (0.1837, 0.0438, 0.1447)
P (0.7500, 0.2500, 0.5000)
P (0.2500, 0.7500, 0.5000)
F (0.2500, 0.2500, 0.4305)
Cl (0.0737, 0.7154, 0.3322)
Cl (0.9263, 0.2846, 0.6678)
Cl (0.4263, 0.7846, 0.3322)
Cl (0.7154, 0.4263, 0.3322)
F (0.7500, 0.7500, 0.1406)
Cl (0.7846, 0.0737, 0.3322)
Sb (0.7500, 0.7500, 0.8544)
Sb (0.2500, 0.2500, 0.1456)
F (0.5438, 0.8163, 0.8553)
Cl (0.5737, 0.2154, 0.6678)
F (0.2500, 0.2500, 0.8594)
F (0.8163, 0.9562, 0.8553)
F (0.4562, 0.1837, 0.1447)
F (0.9562, 0.6837, 0.8553)
Cl (0.2846, 0.5737, 0.6678)
F (0.6837, 0.5438, 0.8553)
Cl (0.2154, 0.9263, 0.6678)
F (0.3163, 0.4562, 0.1447)
F (0.7500, 0.7500, 0.5695)
F (0.0438, 0.3163, 0.1447)

Summary:
The space group is P4/n. The density of states at the Fermi level comes out at 0.000 states/eV/atom. Its uncorrected formation energy is -1.6840 eV per atom.

No. 3
Compound: Na2AgHCl5
Source: the Alexandria database
Functional: PBE
Structure: relaxed

Cell lengths 4.0042, 8.8523, 11.9533 Å; angles 90.00, 90.00, 103.07 degrees
Last column: magnetic moment on the atom in μB.
Sites, in units of the cell vectors:
Ag (0.1882, 0.3765, 0.0215)  0.33
Cl (0.5089, 0.0179, 0.2916)  0.00
Cl (0.6934, 0.3868, 0.1770)  0.11
Na (0.1464, 0.2928, 0.6968)  0.00
Cl (0.6896, 0.3791, 0.8606)  0.09
Na (0.1481, 0.2962, 0.3388)  0.00
Cl (0.6649, 0.3297, 0.5199)  0.10
Cl (0.9520, 0.9040, 0.5267)  0.19
Cl (0.3351, 0.6703, 0.0199)  0.10
H (0.4770, 0.9539, 0.3911)  0.00
Cl (0.3066, 0.6132, 0.6770)  0.11
Cl (0.0480, 0.0960, 0.0267)  0.19
Na (0.8519, 0.7038, 0.8388)  0.00
Cl (0.4911, 0.9821, 0.7916)  0.00
H (0.5230, 0.0461, 0.8911)  0.00
Cl (0.3104, 0.6209, 0.3606)  0.09
Ag (0.8118, 0.6235, 0.5215)  0.33
Na (0.8536, 0.7072, 0.1968)  0.00

Summary:
The space group is Cmc2_1. The density of states at the Fermi level comes out at 0.263 states/eV/atom. For the total energy, the calculation gives -2.9698 eV per atom.

No. 4
Compound: LiZrCu4
Source: the Alexandria database
Functional: PBE
Structure: relaxed

Cell lengths 4.9428, 4.9428, 4.9428 Å; angles 60.00, 60.00, 60.00 degrees
Sites, in units of the cell vectors:
Cu (0.6241, 0.6241, 0.6241)
Cu (0.1277, 0.6241, 0.6241)
Zr (0.0000, 0.0000, 0.0000)
Cu (0.6241, 0.6241, 0.1277)
Cu (0.6241, 0.1277, 0.6241)
Li (0.2500, 0.2500, 0.2500)

Summary:
The space group is F-43m. The density of states at the Fermi level comes out at 0.684 states/eV/atom. For the total energy, the calculation gives -4.5781 eV per atom.

No. 5
Compound: YZn3Ru
Source: the Alexandria database
Functional: PBE
Structure: relaxed

Cell lengths 4.7238, 4.7238, 4.7238 Å; angles 90.00, 90.00, 90.00 degrees
Sites, in units of the cell vectors:
Y (0.5000, 0.5000, 0.5000)
Ru (0.0000, 0.0000, 0.0000)
Zn (0.0000, 0.0000, 0.5000)
Zn (0.5000, 0.0000, 0.0000)
Zn (0.0000, 0.5000, 0.0000)

Summary:
The space group is Pm-3m. The density of states at the Fermi level comes out at 0.639 states/eV/atom. The energy above the most stable polymorph in this dataset comes out at 0.00 kJ/mol of atoms.

No. 6
Compound: CuPdS2
Source: the Alexandria database
Functional: PBE
Structure: relaxed

Cell lengths 5.3307, 5.3307, 6.5121 Å; angles 65.84, 65.84, 90.00 degrees
Sites, in units of the cell vectors:
Pd (0.7500, 0.2500, 0.5000)
S (0.6115, 0.1250, 0.2500)
S (0.1385, 0.6250, 0.2500)
S (0.8750, 0.8615, 0.7500)
Pd (0.0000, 0.0000, 0.0000)
Cu (0.2500, 0.7500, 0.5000)
S (0.3750, 0.3885, 0.7500)
Cu (0.5000, 0.5000, 0.0000)

Summary:
The space group is I-42d. The density of states at the Fermi level comes out at 1.060 states/eV/atom. Its uncorrected formation energy is -0.1299 eV per atom.

No. 7
Compound: Pr2Nd3PuS6
Source: the Alexandria database
Functional: PBE
Structure: relaxed

Cell lengths 4.0463, 8.1646, 9.0848 Å; angles 102.97, 102.87, 90.00 degrees
Last column: magnetic moment on the atom in μB.
Sites, in units of the cell vectors:
Nd (0.5000, 0.5000, 0.0000)  0.01
Pu (0.5000, 0.0000, 0.0000)  5.38
S (0.3359, 0.9198, 0.6718)  -0.02
Nd (0.8326, 0.1645, 0.6651)  0.01
S (0.6665, 0.5853, 0.3330)  0.01
S (0.9984, 0.2425, 0.9967)  -0.05
S (0.3335, 0.4147, 0.6670)  0.01
S (0.6641, 0.0802, 0.3282)  -0.02
Pr (0.1650, 0.3308, 0.3301)  0.02
Pr (0.8350, 0.6692, 0.6699)  0.02
Nd (0.1674, 0.8355, 0.3349)  0.01
S (0.0016, 0.7575, 0.0033)  -0.05

Summary:
The space group is C2/m. The density of states at the Fermi level comes out at 0.758 states/eV/atom. Its uncorrected formation energy is -1.9921 eV per atom.

No. 8
Compound: La2HfZrP4
Source: the Alexandria database
Functional: PBE
Structure: relaxed

Cell lengths 3.9381, 6.8116, 7.0001 Å; angles 109.05, 90.00, 90.00 degrees
Sites, in units of the cell vectors:
P (0.0000, 0.7368, 0.2170)
Zr (0.0000, 0.0000, 0.0000)
P (0.0000, 0.2632, 0.7830)
Hf (0.5000, 0.5000, 0.0000)
P (0.5000, 0.2419, 0.2187)
La (0.0000, 0.5000, 0.5000)
P (0.5000, 0.7581, 0.7813)
La (0.5000, 0.0000, 0.5000)

Summary:
The space group is P2/m. The density of states at the Fermi level comes out at 0.479 states/eV/atom. For the total energy, the calculation gives -7.6874 eV per atom.